Entry 1:
AcNpSb2Rh5 PBE optimized geometry; raw total energy = -7.2295 eV/atom; formation energy without anion corrections = -0.335 eV/atom
1.0
4.097 0.000 0.000
0.000 4.097 0.000
0.000 0.000 12.108
Ac Np Sb Rh
1 1 2 5
Cartesian
0.000 0.000 0.000
2.048 2.048 6.054
2.048 2.048 2.594
2.048 2.048 9.513
0.000 2.048 4.322
0.000 2.048 7.786
2.048 0.000 4.322
2.048 0.000 7.786
2.048 2.048 0.000

***

Entry 2:
TiFeSe2Br PBE optimized geometry; raw total energy = -4.9136 eV/atom; formation energy without anion corrections = 0.086 eV/atom
1.0
4.953 0.000 0.000
0.000 4.953 0.000
0.000 0.000 5.072
Ti Fe Se Br
1 1 2 1
Cartesian
0.000 0.000 0.000
2.476 2.476 2.536
0.000 2.476 0.000
2.476 0.000 0.000
0.000 0.000 2.536

***

Entry 3:
NaMoRu3 PBE optimized geometry; raw total energy = -6.6135 eV/atom; energy relative to the elements = 1.382 eV per atom
1.0
4.724 0.000 0.000
0.000 4.724 0.000
0.000 0.000 4.724
Na Mo Ru
1 1 3
Cartesian
0.000 0.000 0.000
2.362 2.362 2.362
0.000 2.362 2.362
2.362 0.000 2.362
2.362 2.362 0.000

***

Entry 4:
Sm3HoAl8 PBE optimized geometry; raw total energy = -4.5663 eV/atom; energy relative to the elements = -0.510 eV per atom
1.0
2.804 1.619 9.198
-2.804 1.619 9.198
0.000 -3.238 9.198
Sm Ho Al
3 1 8
Cartesian
0.000 0.000 0.000
0.000 0.000 3.449
0.000 0.000 13.806
0.000 0.000 17.236
-1.404 -0.811 10.907
0.000 -1.620 6.340
-1.403 0.810 6.340
0.000 0.000 8.617
1.404 -0.811 10.907
0.000 1.622 10.907
1.403 0.810 6.340
0.000 0.000 22.426

***

Entry 5:
La6SiP2Br3 PBE optimized geometry; raw total energy = -5.6908 eV/atom; formation energy without anion corrections = -1.455 eV/atom
1.0
9.658 -2.142 0.000
9.658 2.142 0.000
-2.515 0.000 8.564
La Si P Br
6 1 2 3
Cartesian
-0.384 0.000 1.988
5.148 0.000 3.777
4.346 0.000 7.633
12.456 0.000 0.931
11.653 0.000 4.787
17.185 0.000 6.576
9.658 0.000 0.000
2.399 0.000 2.867
14.402 0.000 5.697
1.103 0.000 7.127
8.401 0.000 4.282
15.698 0.000 1.437

***

Entry 6:
MgRePb2 PBE optimized geometry; raw total energy = -4.5801 eV/atom; energy relative to the elements = 0.785 eV per atom
1.0
3.455 0.000 0.000
0.000 4.653 0.000
0.000 0.000 5.475
Mg Re Pb
1 1 2
Cartesian
0.000 0.000 0.000
1.727 0.000 2.738
0.000 2.326 2.738
1.727 2.326 0.000

***

Entry 7:
BaCd2In PBE optimized geometry; raw total energy = -1.7949 eV/atom; energy relative to the elements = -0.172 eV per atom
1.0
2.477 -6.599 0.000
2.477 6.599 0.000
0.000 0.000 8.377
Ba Cd In
2 4 2
Cartesian
2.477 5.828 6.282
2.477 -5.828 2.094
2.477 3.164 0.699
2.477 3.164 3.490
2.477 -3.164 4.887
2.477 -3.164 7.678
2.477 1.826 6.282
2.477 -1.826 2.094

***

Entry 8:
AcLaInSn PBE optimized geometry; raw total energy = -4.4864 eV/atom; energy relative to the elements = -0.542 eV per atom
1.0
0.000 4.028 4.028
4.028 0.000 4.028
4.028 4.028 0.000
Ac La In Sn
1 1 1 1
Cartesian
0.000 0.000 0.000
4.028 4.028 4.028
6.041 6.041 6.041
2.014 2.014 2.014

***

Total magnetic moment, respectively: 1.92; 3.96; 2.26; 0.00; 0.00; 0.41; 0.00; 0.00 μB/f.u..